The following is a DFT calculation (meta-GGA SCAN) of a PBEsol-optimized structure of Dy2B4C.

Values from the calculation:
formation enthalpy at 0 K = -0.66 eV per atom
space group = Immm
electronic total energy = -140.04 eV for the cell shown
spin magnetization = 0.00 μB/atom

Unit cell a=3.2458 b=5.2186 c=5.2186 alpha=77.54 beta=71.88 gamma=71.88
Closest atoms and distances in Å follow each position.
Positions (direct):
B 0.0000 0.6353 0.3647  3 B 1.77-1.85
B 0.5000 0.7722 0.2278  1 C 1.49
B 0.5000 0.2278 0.7722  1 C 1.49
B 0.0000 0.3647 0.6353  3 B 1.77-1.85
Dy 0.2347 0.7653 0.7653  2 C 2.39, 2 B 2.66
C 0.5000 0.0000 0.0000  2 B 1.49
Dy 0.7653 0.2347 0.2347  2 C 2.39, 2 B 2.66

---

The following is a DFT calculation (meta-GGA SCAN) of a PBEsol-optimized structure of DyB2C2.

Values from the calculation:
formation enthalpy at 0 K = -0.55 eV per atom
space group = P4/mbm
electronic total energy = -171.23 eV for the cell shown
spin magnetization = 0.00 μB/atom

Unit cell a=3.4911 b=5.3295 c=5.3295 alpha=90.00 beta=90.00 gamma=90.00
Closest atoms and distances in Å follow each position.
Positions (direct):
Dy 0.0000 0.0000 0.0000  8 C 2.65, 8 B 2.71
C 0.5000 0.8376 0.6624  3 B 1.52-1.60
C 0.5000 0.6624 0.1624  3 B 1.52-1.60
C 0.5000 0.1624 0.3376  3 B 1.52-1.60
B 0.5000 0.8639 0.3639  3 C 1.52-1.60
C 0.5000 0.3376 0.8376  3 B 1.52-1.60
B 0.5000 0.1361 0.6361  3 C 1.52-1.60
B 0.5000 0.3639 0.1361  3 C 1.52-1.60
Dy 0.0000 0.5000 0.5000  8 C 2.65, 8 B 2.71
B 0.5000 0.6361 0.8639  3 C 1.52-1.60

---

The following is a DFT calculation (meta-GGA SCAN) of a PBEsol-optimized structure of DyB2C.

Values from the calculation:
formation enthalpy at 0 K = -0.63 eV per atom
space group = P4_2/mbc
electronic total energy = -602.22 eV for the cell shown
spin magnetization = 0.00 μB/atom

Unit cell a=6.7605 b=6.7605 c=7.3479 alpha=90.00 beta=90.00 gamma=90.00
Closest atoms and distances in Å follow each position.
Positions (direct):
Dy 0.3096 0.8096 0.2500  4 C 2.57-2.59, 10 B 2.61-2.75
B 0.4658 0.3489 0.5000  2 C 1.62, 1 B 1.75
B 0.8489 0.9658 0.0000  2 C 1.62, 1 B 1.75
C 0.0408 0.8220 0.0000  3 B 1.59-1.62
C 0.5408 0.6780 0.0000  3 B 1.59-1.62
C 0.9592 0.1780 0.0000  3 B 1.59-1.62
Dy 0.8096 0.6904 0.2500  4 C 2.57-2.59, 10 B 2.61-2.75
B 0.5943 0.9032 0.5000  1 C 1.59, 1 B 1.75
B 0.4057 0.0968 0.5000  1 C 1.59, 1 B 1.75
C 0.6780 0.4592 0.5000  3 B 1.59-1.62
C 0.3220 0.5408 0.5000  3 B 1.59-1.62
B 0.9658 0.1511 0.5000  2 C 1.62, 1 B 1.75
Dy 0.1904 0.3096 0.2500  4 C 2.57-2.59, 10 B 2.61-2.75
Dy 0.8096 0.6904 0.7500  4 C 2.57-2.59, 10 B 2.61-2.75
Dy 0.1904 0.3096 0.7500  4 C 2.57-2.59, 10 B 2.61-2.75
Dy 0.6904 0.1904 0.2500  4 C 2.57-2.59, 10 B 2.61-2.75
B 0.5342 0.6511 0.5000  2 C 1.62, 1 B 1.75
B 0.9032 0.4057 0.0000  1 C 1.59, 1 B 1.75
Dy 0.3096 0.8096 0.7500  4 C 2.57-2.59, 10 B 2.61-2.75
C 0.8220 0.9592 0.5000  3 B 1.59-1.62
B 0.0943 0.5968 0.5000  1 C 1.59, 1 B 1.75
B 0.0342 0.8489 0.5000  2 C 1.62, 1 B 1.75
B 0.3489 0.5342 0.0000  2 C 1.62, 1 B 1.75
B 0.1511 0.0342 0.0000  2 C 1.62, 1 B 1.75
Dy 0.6904 0.1904 0.7500  4 C 2.57-2.59, 10 B 2.61-2.75
B 0.5968 0.9057 0.0000  1 C 1.59, 1 B 1.75
B 0.6511 0.4658 0.0000  2 C 1.62, 1 B 1.75
B 0.0968 0.5943 0.0000  1 C 1.59, 1 B 1.75
C 0.4592 0.3220 0.0000  3 B 1.59-1.62
B 0.9057 0.4032 0.5000  1 C 1.59, 1 B 1.75
C 0.1780 0.0408 0.5000  3 B 1.59-1.62
B 0.4032 0.0943 0.0000  1 C 1.59, 1 B 1.75

---

The following is a DFT calculation (meta-GGA SCAN) of a PBEsol-optimized structure of FeBC2F.

Values from the calculation:
space group = P4/mmm
electronic total energy = -34.79 eV for the cell shown
spin magnetization = 0.70 μB/atom

Unit cell a=3.7213 b=3.7502 c=3.7502 alpha=90.00 beta=90.00 gamma=90.00
Closest atoms and distances in Å follow each position.
Positions (direct):
Fe 0.5000 0.0000 0.0000  2 F 1.86
C 0.0000 0.0000 0.5000  2 F 1.88
B 0.5000 0.5000 0.5000  8 C 2.64, 4 Fe 2.65
C 0.0000 0.5000 0.0000  2 F 1.88
F 0.0000 0.0000 0.0000  2 Fe 1.86, 4 C 1.88